{
  "formula": "FeRe2Se",
  "functional": "meta-GGA SCAN",
  "state": "single point on PBEsol structure",
  "lattice_angstrom": [[-1.427, 0.107, 2.299], [1.845, -1.982, -0.042], [5.960, 5.475, 3.444]],
  "species": ["Re", "Re", "Se", "Fe"],
  "fractional_positions": [[0.000, 0.000, 0.009], [0.500, 0.500, 0.767], [0.000, 0.000, 0.478], [0.500, 0.500, 0.245]],
  "e_form_raw_ev_per_atom": 0.527,
  "crystal_system": "orthorhombic",
  "sg": "No. 35",
  "magmom_total_mub_per_atom": 0.735,
  "energy_ev_per_atom": -44.57
}